The following is a GGA-PBEsol calculation of an optimized crystal structure of YScGa2, from Alexandria.

Unit cell a=6.8366 b=6.8366 c=6.8366 alpha=90.00 beta=90.00 gamma=90.00
Space group Fm-3m (No. 225)
Symmetry-distinct sites (fractional):
Y1 0.0000 0.0000 0.0000 x4
Sc1 0.0000 0.0000 0.5000 x4
Ga1 0.2500 0.2500 0.2500 x8

Computed properties:
**Total magnetic moment**: 0.00 μB per cell
**Formation energy from the elements**: -0.6283 eV/atom
**V**: 19.97 Å³ per atom

The following is a GGA-PBEsol calculation of an optimized crystal structure of Sc2ZnGa, from Alexandria.

Unit cell a=6.5955 b=6.5955 c=6.5955 alpha=90.00 beta=90.00 gamma=90.00
Space group Fm-3m (No. 225)
Symmetry-distinct sites (fractional):
Sc1 0.2500 0.2500 0.2500 x8
Zn1 0.0000 0.0000 0.0000 x4
Ga1 0.0000 0.0000 0.5000 x4

Computed properties:
**Total magnetic moment**: 0.00 μB per cell
**Formation energy from the elements**: -0.5496 eV/atom
**V**: 17.93 Å³ per atom

The following is a GGA-PBEsol calculation of an optimized crystal structure of ZrSc2Ga2, from Alexandria.

Unit cell a=7.5841 b=7.5841 c=3.3642 alpha=90.00 beta=90.00 gamma=90.00
Space group P4/mbm (No. 127)
Symmetry-distinct sites (fractional):
Zr1 0.0000 0.0000 0.0000 x2
Sc1 0.1767 0.3233 0.5000 x4
Ga1 0.1228 0.6228 0.0000 x4

Computed properties:
**Total magnetic moment**: 0.00 μB per cell
**Formation energy from the elements**: -0.5198 eV/atom
**V**: 19.35 Å³ per atom

Q: Number 3 is which compound?
A: ZrSc2Ga2